## BaPuCoO5 (PBE with a Hubbard U)

Data for a relaxed structure of BaPuCoO5.

a = 6.159 Å, b = 6.159 Å, c = 8.041 Å
α = 104.48°, β = 104.48°, γ = 106.58°
Sites, in units of the cell vectors:
1 Ba 0.330 0.670 0.250
2 Ba 0.670 0.330 0.750
3 Pu 0.000 0.000 0.500
4 Pu 0.000 0.000 0.000
5 Co 0.690 0.310 0.250
6 Co 0.310 0.690 0.750
7 O 0.062 0.938 0.250
8 O 0.938 0.062 0.750
9 O 0.892 0.285 0.096
10 O 0.108 0.715 0.904
11 O 0.715 0.108 0.404
12 O 0.285 0.892 0.596
13 O 0.766 0.648 0.401
14 O 0.234 0.352 0.599
15 O 0.352 0.234 0.099
16 O 0.648 0.766 0.901

Values from the calculation:
Total DFT energy (no corrections), eV per atom: -8.09
Density of states at the Fermi level, states/eV per cell: 8.51
Symmetry: No. 15